1.
VASP calculation (PBE) on a relaxed structure of TaTi2Ni9.

a = 3.6371 Å, b = 3.6371 Å, c = 10.8980 Å
α = 90.00°, β = 90.00°, γ = 90.00°
Closest atoms and distances in Å follow each position.
Space group P4/mmm (No. 123)
One atom of each set of equivalent atoms:
Ta1 0.0000 0.0000 0.0000  12 Ni 2.57-2.59
Ti1 0.0000 0.0000 0.3371  12 Ni 2.54-2.58
Ni1 0.0000 0.5000 0.1693  8 Ni 2.56-2.59, 2 Ti 2.58, 2 Ta 2.59
Ni2 0.0000 0.5000 0.5000  4 Ti 2.54, 8 Ni 2.56-2.57
Ni3 0.5000 0.5000 0.0000  4 Ta 2.57, 8 Ni 2.59
Ni4 0.5000 0.5000 0.3342  8 Ni 2.56, 4 Ti 2.57

Properties
The theoretical density comes out at 9.27 Mg/m³.

=====

2.
VASP calculation (PBE) on a relaxed structure of TaTiNi6.

a = 5.1337 Å, b = 5.1337 Å, c = 4.2375 Å
α = 90.00°, β = 90.00°, γ = 120.00°
Closest atoms and distances in Å follow each position.
Space group P-6m2 (No. 187)
One atom of each set of equivalent atoms:
Ta1 0.0000 0.0000 0.0000  12 Ni 2.57-2.61
Ti1 0.6667 0.3333 0.5000  12 Ni 2.57-2.60
Ni1 0.0066 0.5033 0.0000  8 Ni 2.52-2.62, 2 Ta 2.57, 2 Ti 2.60
Ni2 0.1716 0.3431 0.5000  8 Ni 2.49-2.64, 2 Ti 2.57, 2 Ta 2.61

Properties
The theoretical density comes out at 9.97 Mg/m³. The energy above the lowest structure with this stoichiometry is 0.000 kcal/mol of atoms.

=====

3.
VASP calculation (PBE) on a relaxed structure of TaTiNi2.

a = 6.7389 Å, b = 6.7389 Å, c = 5.1966 Å
α = 90.00°, β = 90.00°, γ = 90.00°
Closest atoms and distances in Å follow each position.
Space group I-42d (No. 122)
One atom of each set of equivalent atoms:
Ta1 0.0000 0.0000 0.0000  4 Ni 2.49, 2 Ti 2.60
Ti1 0.0000 0.0000 0.5000  4 Ni 2.45, 2 Ta 2.60
Ni1 0.2449 0.2500 0.6250  2 Ti 2.45, 2 Ta 2.49, 2 Ni 2.60

Properties
The theoretical density comes out at 9.74 Mg/m³.

=====

4.
VASP calculation (PBE) on a relaxed structure of Ta2Ti2Ni.

a = 3.7756 Å, b = 3.7756 Å, c = 12.7828 Å
α = 90.00°, β = 90.00°, γ = 90.00°
Closest atoms and distances in Å follow each position.
Space group I4/mmm (No. 139)
One atom of each set of equivalent atoms:
Ta1 0.0000 0.5000 0.2500  4 Ta 2.67, 4 Ti 2.81
Ti1 0.0000 0.0000 0.0871  1 Ti 2.23
Ni1 0.0000 0.0000 0.5000  8 Ti 2.89

Properties
The theoretical density comes out at 9.41 Mg/m³. The energy above the lowest structure with this stoichiometry is 12.993 kcal/mol of atoms.

=====

What calculated formation energy values result from the calculations? In sequence: -0.3744 -0.4102 0.1449 0.7653 eV/atom.